(1)
# KRbRuI6 | Alexandria via LeMat-Bulk | GGA-PBE | optimized geometry
# SG: No. 149
# Density of states at the Fermi level, states/eV/f.u.: 5.58
# Energy relative to the elements, uncorrected, eV per atom: -0.59
# Crystal system: trigonal
# DFT total energy, eV per atom: -2.88
# V, Å³ per atom: 48.3
data_KRbRuI6
_chemical_formula_sum 'K1 Rb1 Ru1 I6'
_cell_length_a 8.495
_cell_length_b 8.495
_cell_length_c 6.957
_cell_angle_alpha 90.00
_cell_angle_beta 90.00
_cell_angle_gamma 59.97
_space_group_name_H-M_alt 'P 1'
_space_group_IT_number 1
loop_
_space_group_symop_operation_xyz
'x,y,z'
loop_
_atom_site_label
_atom_site_type_symbol
_atom_site_fract_x
_atom_site_fract_y
_atom_site_fract_z
_atom_site_occupancy
I1 I 0.589 0.341 0.728 1
I2 I 0.341 0.589 0.272 1
Ru1 Ru 0.333 0.333 0.500 1
Rb1 Rb 0.000 0.000 0.000 1
I3 I 0.070 0.341 0.272 1
I4 I 0.590 0.069 0.272 1
I5 I 0.069 0.590 0.728 1
K1 K 0.667 0.667 0.500 1
I6 I 0.341 0.070 0.728 1

---

(2)
# La3Pm2Ag2 | Alexandria via LeMat-Bulk | GGA-PBE | optimized geometry
# SG: No. 65
# Relative energy among the computed polymorphs, meV/atom: 49
# Density of states at the Fermi level, states/eV/f.u.: 10.50
# Crystal system: orthorhombic
# DFT total energy, eV per atom: -4.35
# V, Å³ per atom: 31.8
data_La3Pm2Ag2
_chemical_formula_sum 'La3 Pm2 Ag2'
_cell_length_a 3.743
_cell_length_b 3.717
_cell_length_c 16.090
_cell_angle_alpha 90.00
_cell_angle_beta 83.32
_cell_angle_gamma 90.00
_space_group_name_H-M_alt 'P 1'
_space_group_IT_number 1
loop_
_space_group_symop_operation_xyz
'x,y,z'
loop_
_atom_site_label
_atom_site_type_symbol
_atom_site_fract_x
_atom_site_fract_y
_atom_site_fract_z
_atom_site_occupancy
Ag1 Ag 0.438 0.500 0.125 1
La1 La 0.000 0.000 0.000 1
Ag2 Ag 0.562 0.500 0.875 1
Pm1 Pm 0.704 0.500 0.592 1
La2 La 0.876 0.000 0.248 1
La3 La 0.124 0.000 0.752 1
Pm2 Pm 0.296 0.500 0.408 1

---

(3)
# Cr3C | Alexandria via LeMat-Bulk | GGA-PBE | optimized geometry
# SG: No. 139
# Relative energy among the computed polymorphs, meV/atom: 654
# Density of states at the Fermi level, states/eV/f.u.: 3.61
# Crystal system: tetragonal
# DFT total energy, eV per atom: -8.96
# V, Å³ per atom: 10.2
data_Cr3C
_chemical_formula_sum 'Cr6 C2'
_cell_length_a 8.727
_cell_length_b 8.727
_cell_length_c 8.727
_cell_angle_alpha 159.44
_cell_angle_beta 159.44
_cell_angle_gamma 29.23
_space_group_name_H-M_alt 'P 1'
_space_group_IT_number 1
loop_
_space_group_symop_operation_xyz
'x,y,z'
loop_
_atom_site_label
_atom_site_type_symbol
_atom_site_fract_x
_atom_site_fract_y
_atom_site_fract_z
_atom_site_occupancy
Cr1 Cr 0.876 0.876 0.000 1
Cr2 Cr 0.000 0.500 0.500 1
Cr3 Cr 0.750 0.250 0.500 1
C1 C 0.591 0.591 0.000 1
Cr4 Cr 0.500 0.000 0.500 1
C2 C 0.409 0.409 0.000 1
Cr5 Cr 0.250 0.750 0.500 1
Cr6 Cr 0.124 0.124 0.000 1

---

(4)
# CuI | Alexandria via LeMat-Bulk | GGA-PBE | optimized geometry
# SG: No. 186
# Energy relative to the elements, uncorrected, eV per atom: -0.13
# Crystal system: hexagonal
# DFT total energy, eV per atom: -2.96
# V, Å³ per atom: 27.9
data_CuI
_chemical_formula_sum 'Cu2 I2'
_cell_length_a 4.278
_cell_length_b 4.278
_cell_length_c 7.047
_cell_angle_alpha 90.00
_cell_angle_beta 90.00
_cell_angle_gamma 120.00
_space_group_name_H-M_alt 'P 1'
_space_group_IT_number 1
loop_
_space_group_symop_operation_xyz
'x,y,z'
loop_
_atom_site_label
_atom_site_type_symbol
_atom_site_fract_x
_atom_site_fract_y
_atom_site_fract_z
_atom_site_occupancy
I1 I 0.667 0.333 0.227 1
Cu1 Cu 0.667 0.333 0.855 1
Cu2 Cu 0.333 0.667 0.355 1
I2 I 0.333 0.667 0.727 1

---

(5)
# CoBSN2 | Alexandria via LeMat-Bulk | GGA-PBE | optimized geometry
# SG: No. 123
# Density of states at the Fermi level, states/eV/f.u.: 3.39
# Energy relative to the elements, uncorrected, eV per atom: 1.54
# Crystal system: tetragonal
# DFT total energy, eV per atom: -5.38
# V, Å³ per atom: 17.6
data_CoBSN2
_chemical_formula_sum 'Co1 B1 S1 N2'
_cell_length_a 3.354
_cell_length_b 3.354
_cell_length_c 7.806
_cell_angle_alpha 90.00
_cell_angle_beta 90.00
_cell_angle_gamma 90.00
_space_group_name_H-M_alt 'P 1'
_space_group_IT_number 1
loop_
_space_group_symop_operation_xyz
'x,y,z'
loop_
_atom_site_label
_atom_site_type_symbol
_atom_site_fract_x
_atom_site_fract_y
_atom_site_fract_z
_atom_site_occupancy
N1 N 0.500 0.000 0.000 1
S1 S 0.000 0.000 0.500 1
Co1 Co 0.000 0.000 0.000 1
N2 N 0.000 0.500 0.000 1
B1 B 0.500 0.500 0.500 1

---

(6)
# LaZrNi3 | Alexandria via LeMat-Bulk | GGA-PBE | optimized geometry
# SG: No. 221
# Relative energy among the computed polymorphs, meV/atom: 673
# Density of states at the Fermi level, states/eV/f.u.: 6.12
# Crystal system: cubic
# DFT total energy, eV per atom: -5.22
# V, Å³ per atom: 20.8
data_LaZrNi3
_chemical_formula_sum 'La1 Zr1 Ni3'
_cell_length_a 4.702
_cell_length_b 4.702
_cell_length_c 4.702
_cell_angle_alpha 90.00
_cell_angle_beta 90.00
_cell_angle_gamma 90.00
_space_group_name_H-M_alt 'P 1'
_space_group_IT_number 1
loop_
_space_group_symop_operation_xyz
'x,y,z'
loop_
_atom_site_label
_atom_site_type_symbol
_atom_site_fract_x
_atom_site_fract_y
_atom_site_fract_z
_atom_site_occupancy
Ni1 Ni 0.000 0.500 0.000 1
La1 La 0.000 0.000 0.000 1
Ni2 Ni 0.000 0.000 0.500 1
Ni3 Ni 0.500 0.000 0.000 1
Zr1 Zr 0.500 0.500 0.500 1

---

V of number 2 (La3Pm2Ag2)?
31.8 Å³ per atom

---

Repeat the sixth record exactly.
# LaZrNi3 | Alexandria via LeMat-Bulk | GGA-PBE | optimized geometry
# SG: No. 221
# Relative energy among the computed polymorphs, meV/atom: 673
# Density of states at the Fermi level, states/eV/f.u.: 6.12
# Crystal system: cubic
# DFT total energy, eV per atom: -5.22
# V, Å³ per atom: 20.8
data_LaZrNi3
_chemical_formula_sum 'La1 Zr1 Ni3'
_cell_length_a 4.702
_cell_length_b 4.702
_cell_length_c 4.702
_cell_angle_alpha 90.00
_cell_angle_beta 90.00
_cell_angle_gamma 90.00
_space_group_name_H-M_alt 'P 1'
_space_group_IT_number 1
loop_
_space_group_symop_operation_xyz
'x,y,z'
loop_
_atom_site_label
_atom_site_type_symbol
_atom_site_fract_x
_atom_site_fract_y
_atom_site_fract_z
_atom_site_occupancy
Ni1 Ni 0.000 0.500 0.000 1
La1 La 0.000 0.000 0.000 1
Ni2 Ni 0.000 0.000 0.500 1
Ni3 Ni 0.500 0.000 0.000 1
Zr1 Zr 0.500 0.500 0.500 1

---

Number 6 is which compound?
LaZrNi3